A geometry-optimized Ta2TcMo structure, computed with GGA-PBE.

The structure in CIF format:
```
data_Ta2TcMo
_cell_length_a 3.204
_cell_length_b 3.204
_cell_length_c 6.483
_cell_angle_alpha 90.00
_cell_angle_beta 90.00
_cell_angle_gamma 90.00
_symmetry_space_group_name_H-M 'P 1'
_symmetry_Int_Tables_number 1
_symmetry_space_group_name_Hall 'P 1'
loop_
_atom_site_label
_atom_site_type_symbol
_atom_site_fract_x
_atom_site_fract_y
_atom_site_fract_z
Ta1 Ta 0.000 0.000 0.000
Ta2 Ta 0.500 0.500 0.266
Tc1 Tc 0.000 0.000 0.512
Mo1 Mo 0.500 0.500 0.750
```

SG: No. 99
D(E_F): 0.74 states/eV per atom
ΔE_f: -0.191 eV/atom
Distance to the lowest polymorph of the same formula: 161 meV per atom
VASP energy: -11.4165 eV/atom

A geometry-optimized TaTiTcMo structure, computed with GGA-PBE.

The structure in CIF format:
```
data_TaTiTcMo
_cell_length_a 4.489
_cell_length_b 4.489
_cell_length_c 4.489
_cell_angle_alpha 60.00
_cell_angle_beta 60.00
_cell_angle_gamma 60.00
_symmetry_space_group_name_H-M 'P 1'
_symmetry_Int_Tables_number 1
_symmetry_space_group_name_Hall 'P 1'
loop_
_atom_site_label
_atom_site_type_symbol
_atom_site_fract_x
_atom_site_fract_y
_atom_site_fract_z
Ta1 Ta 0.000 0.000 0.000
Ti1 Ti 0.500 0.500 0.500
Tc1 Tc 0.250 0.250 0.250
Mo1 Mo 0.750 0.750 0.750
```

SG: No. 216
D(E_F): 0.87 states/eV per atom
ΔE_f: -0.328 eV/atom
Distance to the lowest polymorph of the same formula: 0 meV per atom
VASP energy: -10.5643 eV/atom

A geometry-optimized TaTiTcMo structure, computed with GGA-PBE.

The structure in CIF format:
```
data_TaTiTcMo
_cell_length_a 2.952
_cell_length_b 3.027
_cell_length_c 7.748
_cell_angle_alpha 90.00
_cell_angle_beta 90.00
_cell_angle_gamma 90.00
_symmetry_space_group_name_H-M 'P 1'
_symmetry_Int_Tables_number 1
_symmetry_space_group_name_Hall 'P 1'
loop_
_atom_site_label
_atom_site_type_symbol
_atom_site_fract_x
_atom_site_fract_y
_atom_site_fract_z
Ta1 Ta 0.000 0.000 0.000
Ti1 Ti 0.000 0.000 0.578
Tc1 Tc 0.500 0.500 0.780
Mo1 Mo 0.000 0.500 0.294
```

SG: No. 25
D(E_F): 0.92 states/eV per atom
ΔE_f: 0.323 eV/atom
Distance to the lowest polymorph of the same formula: 651 meV per atom
VASP energy: -9.9130 eV/atom

A geometry-optimized TaTcMoW structure, computed with GGA-PBE.

The structure in CIF format:
```
data_TaTcMoW
_cell_length_a 3.180
_cell_length_b 3.180
_cell_length_c 6.378
_cell_angle_alpha 90.00
_cell_angle_beta 90.00
_cell_angle_gamma 90.00
_symmetry_space_group_name_H-M 'P 1'
_symmetry_Int_Tables_number 1
_symmetry_space_group_name_Hall 'P 1'
loop_
_atom_site_label
_atom_site_type_symbol
_atom_site_fract_x
_atom_site_fract_y
_atom_site_fract_z
Ta1 Ta 0.000 0.000 0.000
Tc1 Tc 0.500 0.500 0.251
Mo1 Mo 0.500 0.500 0.742
W1 W 0.000 0.000 0.500
```

SG: No. 99
D(E_F): 0.52 states/eV per atom
ΔE_f: -0.194 eV/atom
Distance to the lowest polymorph of the same formula: 8 meV per atom
VASP energy: -11.6947 eV/atom

A geometry-optimized TaTcMoW structure, computed with GGA-PBE.

The structure in CIF format:
```
data_TaTcMoW
_cell_length_a 4.495
_cell_length_b 4.495
_cell_length_c 4.495
_cell_angle_alpha 60.00
_cell_angle_beta 60.00
_cell_angle_gamma 60.00
_symmetry_space_group_name_H-M 'P 1'
_symmetry_Int_Tables_number 1
_symmetry_space_group_name_Hall 'P 1'
loop_
_atom_site_label
_atom_site_type_symbol
_atom_site_fract_x
_atom_site_fract_y
_atom_site_fract_z
Ta1 Ta 0.000 0.000 0.000
Tc1 Tc 0.250 0.250 0.250
Mo1 Mo 0.750 0.750 0.750
W1 W 0.500 0.500 0.500
```

SG: No. 216
D(E_F): 0.53 states/eV per atom
ΔE_f: -0.202 eV/atom
Distance to the lowest polymorph of the same formula: 0 meV per atom
VASP energy: -11.7031 eV/atom

A geometry-optimized Ta2TeMo structure, computed with GGA-PBE.

The structure in CIF format:
```
data_Ta2TeMo
_cell_length_a 8.624
_cell_length_b 8.624
_cell_length_c 8.624
_cell_angle_alpha 21.84
_cell_angle_beta 21.84
_cell_angle_gamma 21.84
_symmetry_space_group_name_H-M 'P 1'
_symmetry_Int_Tables_number 1
_symmetry_space_group_name_Hall 'P 1'
loop_
_atom_site_label
_atom_site_type_symbol
_atom_site_fract_x
_atom_site_fract_y
_atom_site_fract_z
Ta1 Ta 0.243 0.243 0.243
Ta2 Ta 0.757 0.757 0.757
Te1 Te 0.000 0.000 0.000
Mo1 Mo 0.500 0.500 0.500
```

SG: No. 166
D(E_F): 1.00 states/eV per atom
VASP energy: -9.1364 eV/atom
Formation energy without anion corrections: 283 meV/atom

A geometry-optimized TaTeMo structure, computed with GGA-PBE.

The structure in CIF format:
```
data_TaTeMo
_cell_length_a 3.363
_cell_length_b 3.363
_cell_length_c 9.792
_cell_angle_alpha 90.00
_cell_angle_beta 90.00
_cell_angle_gamma 90.11
_symmetry_space_group_name_H-M 'P 1'
_symmetry_Int_Tables_number 1
_symmetry_space_group_name_Hall 'P 1'
loop_
_atom_site_label
_atom_site_type_symbol
_atom_site_fract_x
_atom_site_fract_y
_atom_site_fract_z
Ta1 Ta 0.000 0.000 0.000
Ta2 Ta 0.500 0.500 0.500
Te1 Te 0.000 0.000 0.324
Te2 Te 0.000 0.000 0.676
Mo1 Mo 0.500 0.500 0.160
Mo2 Mo 0.500 0.500 0.840
```

SG: No. 65
D(E_F): 1.29 states/eV per atom
Distance to the lowest polymorph of the same formula: 0 meV per atom
VASP energy: -8.3954 eV/atom
Formation energy without anion corrections: 213 meV/atom

A geometry-optimized Ta2TeMo structure, computed with GGA-PBE.

The structure in CIF format:
```
data_Ta2TeMo
_cell_length_a 5.378
_cell_length_b 5.378
_cell_length_c 5.378
_cell_angle_alpha 142.68
_cell_angle_beta 128.85
_cell_angle_gamma 65.01
_symmetry_space_group_name_H-M 'P 1'
_symmetry_Int_Tables_number 1
_symmetry_space_group_name_Hall 'P 1'
loop_
_atom_site_label
_atom_site_type_symbol
_atom_site_fract_x
_atom_site_fract_y
_atom_site_fract_z
Ta1 Ta 0.242 0.242 0.000
Ta2 Ta 0.758 0.758 0.000
Te1 Te 0.500 0.000 0.500
Mo1 Mo 0.000 0.500 0.500
```

SG: No. 71
D(E_F): 0.90 states/eV per atom
VASP energy: -9.2458 eV/atom
Formation energy without anion corrections: 174 meV/atom

A geometry-optimized TaTe6Mo structure, computed with GGA-PBE.

The structure in CIF format:
```
data_TaTe6Mo
_cell_length_a 6.378
_cell_length_b 6.823
_cell_length_c 6.956
_cell_angle_alpha 68.76
_cell_angle_beta 64.48
_cell_angle_gamma 62.92
_symmetry_space_group_name_H-M 'P 1'
_symmetry_Int_Tables_number 1
_symmetry_space_group_name_Hall 'P 1'
loop_
_atom_site_label
_atom_site_type_symbol
_atom_site_fract_x
_atom_site_fract_y
_atom_site_fract_z
Ta1 Ta 0.000 0.000 0.000
Te1 Te 0.048 0.771 0.722
Te2 Te 0.311 0.605 0.181
Te3 Te 0.389 0.123 0.678
Te4 Te 0.611 0.877 0.322
Te5 Te 0.689 0.395 0.819
Te6 Te 0.952 0.229 0.278
Mo1 Mo 0.500 0.500 0.500
```

SG: No. 2
D(E_F): 0.73 states/eV per atom
VASP energy: -5.1983 eV/atom
Formation energy without anion corrections: -7 meV/atom

A geometry-optimized Ta2TeMo2 structure, computed with GGA-PBE.

The structure in CIF format:
```
data_Ta2TeMo2
_cell_length_a 6.570
_cell_length_b 6.570
_cell_length_c 6.570
_cell_angle_alpha 142.66
_cell_angle_beta 142.66
_cell_angle_gamma 53.83
_symmetry_space_group_name_H-M 'P 1'
_symmetry_Int_Tables_number 1
_symmetry_space_group_name_Hall 'P 1'
loop_
_atom_site_label
_atom_site_type_symbol
_atom_site_fract_x
_atom_site_fract_y
_atom_site_fract_z
Ta1 Ta 0.250 0.750 0.500
Ta2 Ta 0.750 0.250 0.500
Te1 Te 0.000 0.000 0.000
Mo1 Mo 0.389 0.389 0.000
Mo2 Mo 0.611 0.611 0.000
```

SG: No. 139
D(E_F): 0.73 states/eV per atom
Distance to the lowest polymorph of the same formula: 165 meV per atom
VASP energy: -9.0018 eV/atom
Formation energy without anion corrections: 700 meV/atom

A geometry-optimized Ta3TeMo structure, computed with GGA-PBE.

The structure in CIF format:
```
data_Ta3TeMo
_cell_length_a 4.933
_cell_length_b 4.933
_cell_length_c 4.933
_cell_angle_alpha 90.00
_cell_angle_beta 90.00
_cell_angle_gamma 90.00
_symmetry_space_group_name_H-M 'P 1'
_symmetry_Int_Tables_number 1
_symmetry_space_group_name_Hall 'P 1'
loop_
_atom_site_label
_atom_site_type_symbol
_atom_site_fract_x
_atom_site_fract_y
_atom_site_fract_z
Ta1 Ta 0.000 0.000 0.500
Ta2 Ta 0.000 0.500 0.000
Ta3 Ta 0.500 0.000 0.000
Te1 Te 0.000 0.000 0.000
Mo1 Mo 0.500 0.500 0.500
```

SG: No. 221
D(E_F): 1.15 states/eV per atom
Distance to the lowest polymorph of the same formula: 799 meV per atom
VASP energy: -7.8319 eV/atom
Formation energy without anion corrections: 2074 meV/atom

A geometry-optimized Ta2TeMo structure, computed with GGA-PBE.

The structure in CIF format:
```
data_Ta2TeMo
_cell_length_a 3.437
_cell_length_b 3.437
_cell_length_c 6.390
_cell_angle_alpha 90.00
_cell_angle_beta 90.00
_cell_angle_gamma 90.00
_symmetry_space_group_name_H-M 'P 1'
_symmetry_Int_Tables_number 1
_symmetry_space_group_name_Hall 'P 1'
loop_
_atom_site_label
_atom_site_type_symbol
_atom_site_fract_x
_atom_site_fract_y
_atom_site_fract_z
Ta1 Ta 0.000 0.000 0.000
Ta2 Ta 0.500 0.500 0.244
Te1 Te 0.000 0.000 0.502
Mo1 Mo 0.500 0.500 0.787
```

SG: No. 99
D(E_F): 1.23 states/eV per atom
VASP energy: -9.2324 eV/atom
Formation energy without anion corrections: 187 meV/atom

A geometry-optimized TaTe3Mo structure, computed with GGA-PBE.

The structure in CIF format:
```
data_TaTe3Mo
_cell_length_a 8.954
_cell_length_b 8.954
_cell_length_c 6.086
_cell_angle_alpha 97.86
_cell_angle_beta 97.86
_cell_angle_gamma 79.85
_symmetry_space_group_name_H-M 'P 1'
_symmetry_Int_Tables_number 1
_symmetry_space_group_name_Hall 'P 1'
loop_
_atom_site_label
_atom_site_type_symbol
_atom_site_fract_x
_atom_site_fract_y
_atom_site_fract_z
Ta1 Ta 0.056 0.944 0.750
Ta2 Ta 0.202 0.798 0.250
Ta3 Ta 0.798 0.202 0.750
Ta4 Ta 0.944 0.056 0.250
Te1 Te 0.069 0.623 0.861
Te2 Te 0.083 0.228 0.641
Te3 Te 0.228 0.083 0.141
Te4 Te 0.303 0.527 0.464
Te5 Te 0.377 0.931 0.639
Te6 Te 0.473 0.697 0.036
Te7 Te 0.527 0.303 0.964
Te8 Te 0.623 0.069 0.361
Te9 Te 0.697 0.473 0.536
Te10 Te 0.772 0.917 0.859
Te11 Te 0.917 0.772 0.359
Te12 Te 0.931 0.377 0.139
Mo1 Mo 0.239 0.376 0.064
Mo2 Mo 0.376 0.239 0.564
Mo3 Mo 0.624 0.761 0.436
Mo4 Mo 0.761 0.624 0.936
```

SG: No. 15
D(E_F): 0.83 states/eV per atom
Distance to the lowest polymorph of the same formula: 258 meV per atom
VASP energy: -6.2868 eV/atom
Formation energy without anion corrections: 135 meV/atom

A geometry-optimized Ta3TeMo structure, computed with GGA-PBE.

The structure in CIF format:
```
data_Ta3TeMo
_cell_length_a 4.891
_cell_length_b 4.891
_cell_length_c 4.891
_cell_angle_alpha 90.00
_cell_angle_beta 90.00
_cell_angle_gamma 90.00
_symmetry_space_group_name_H-M 'P 1'
_symmetry_Int_Tables_number 1
_symmetry_space_group_name_Hall 'P 1'
loop_
_atom_site_label
_atom_site_type_symbol
_atom_site_fract_x
_atom_site_fract_y
_atom_site_fract_z
Ta1 Ta 0.000 0.000 0.500
Ta2 Ta 0.000 0.500 0.000
Ta3 Ta 0.500 0.000 0.000
Te1 Te 0.500 0.500 0.500
Mo1 Mo 0.000 0.000 0.000
```

SG: No. 221
D(E_F): 0.85 states/eV per atom
Distance to the lowest polymorph of the same formula: 0 meV per atom
VASP energy: -8.6313 eV/atom
Formation energy without anion corrections: 1275 meV/atom